Sm2Cr2C3 | GGA-PBEsol | relaxed

Output
The crystal system is monoclinic. For the density of states at the Fermi level, the calculation gives 9.1 states/eV/cell. The value obtained for the energy of formation from the pure elements is -0.30 eV/atom. The value obtained for the total moment is 0.0 μB per formula unit.

```
data_Sm2Cr2C3
_cell_length_a 10.2115
_cell_length_b 3.4517
_cell_length_c 5.6473
_cell_angle_alpha 90.00
_cell_angle_beta 105.33
_cell_angle_gamma 90.00
_space_group_name_H-M_alt 'C 1 2/m 1'
_space_group_IT_number 12
_space_group_name_Hall '-C 2y'
loop_
_atom_site_label
_atom_site_type_symbol
_atom_site_fract_x
_atom_site_fract_y
_atom_site_fract_z
Sm1 Sm 0.1013 0.0000 0.3181
Cr1 Cr 0.1594 0.5000 0.8967
C1 C 0.0000 0.5000 0.0000
C2 C 0.2054 0.0000 0.7822
```

PtPb2 | GGA-PBEsol | relaxed

Output
The crystal system is hexagonal. For the density of states at the Fermi level, the calculation gives 2.1 states/eV/cell. The value obtained for the energy of formation from the pure elements is 0.43 eV/atom. The value obtained for the total moment is 0.0 μB per formula unit.

```
data_PtPb2
_cell_length_a 5.1696
_cell_length_b 5.1696
_cell_length_c 3.0313
_cell_angle_alpha 90.00
_cell_angle_beta 90.00
_cell_angle_gamma 120.00
_space_group_name_H-M_alt 'P 6/m m m'
_space_group_IT_number 191
_space_group_name_Hall '-P 6 2'
loop_
_atom_site_label
_atom_site_type_symbol
_atom_site_fract_x
_atom_site_fract_y
_atom_site_fract_z
Pt1 Pt 0.0000 0.0000 0.0000
Pb1 Pb 0.3333 0.6667 0.5000
```

RbPPbS4 | GGA-PBEsol | relaxed

Output
The crystal system is orthorhombic. For the density of states at the Fermi level, the calculation gives 0.0 states/eV/cell. The value obtained for the total moment is 0.0 μB per formula unit. For the uncorrected formation energy, the calculation gives -0.695 eV/atom.

```
data_RbPPbS4
_cell_length_a 17.0711
_cell_length_b 6.5787
_cell_length_c 6.4942
_cell_angle_alpha 90.00
_cell_angle_beta 90.00
_cell_angle_gamma 90.00
_space_group_name_H-M_alt 'P n m a'
_space_group_IT_number 62
_space_group_name_Hall '-P 2ac 2n'
loop_
_atom_site_label
_atom_site_type_symbol
_atom_site_fract_x
_atom_site_fract_y
_atom_site_fract_z
Rb1 Rb 0.2113 0.2500 0.0117
P1 P 0.0942 0.7500 0.2232
Pb1 Pb 0.0213 0.7500 0.7176
S1 S 0.0229 0.2500 0.8499
S2 S 0.1174 0.5011 0.4020
S3 S 0.1637 0.7500 0.9683
```

AlAg3 | GGA-PBEsol | relaxed

Output
The crystal system is orthorhombic. For the density of states at the Fermi level, the calculation gives 4.3 states/eV/cell. The value obtained for the energy of formation from the pure elements is -0.08 eV/atom. The value obtained for the total moment is 0.0 μB per formula unit.

```
data_AlAg3
_cell_length_a 3.9366
_cell_length_b 4.1110
_cell_length_c 16.0161
_cell_angle_alpha 90.00
_cell_angle_beta 90.00
_cell_angle_gamma 90.00
_space_group_name_H-M_alt 'I m m a'
_space_group_IT_number 74
_space_group_name_Hall '-I 2b 2'
loop_
_atom_site_label
_atom_site_type_symbol
_atom_site_fract_x
_atom_site_fract_y
_atom_site_fract_z
Al1 Al 0.0000 0.2500 0.0658
Ag1 Ag 0.0000 0.2500 0.3158
Ag2 Ag 0.0000 0.2500 0.5583
Ag3 Ag 0.0000 0.2500 0.8140
```

BeTcS2N | GGA-PBEsol | relaxed

Output
The crystal system is tetragonal. For the density of states at the Fermi level, the calculation gives 3.6 states/eV/cell. The value obtained for the total moment is 1.3 μB per formula unit. For the uncorrected formation energy, the calculation gives 0.613 eV/atom.

```
data_BeTcS2N
_cell_length_a 4.4221
_cell_length_b 4.4221
_cell_length_c 3.0504
_cell_angle_alpha 90.00
_cell_angle_beta 90.00
_cell_angle_gamma 90.00
_space_group_name_H-M_alt 'P 4/m m m'
_space_group_IT_number 123
_space_group_name_Hall '-P 4 2'
loop_
_atom_site_label
_atom_site_type_symbol
_atom_site_fract_x
_atom_site_fract_y
_atom_site_fract_z
Be1 Be 0.0000 0.0000 0.0000
Tc1 Tc 0.5000 0.5000 0.5000
S1 S 0.0000 0.5000 0.0000
N1 N 0.0000 0.0000 0.5000
```

Sr2LiPt | GGA-PBEsol | relaxed

Output
The crystal system is tetragonal. For the density of states at the Fermi level, the calculation gives 4.3 states/eV/cell. The value obtained for the energy of formation from the pure elements is -0.19 eV/atom. The value obtained for the total moment is 0.0 μB per formula unit. The energy above the most stable polymorph in this dataset comes out at 0.93 eV per formula unit.

```
data_Sr2LiPt
_cell_length_a 4.5068
_cell_length_b 4.5068
_cell_length_c 10.3382
_cell_angle_alpha 90.00
_cell_angle_beta 90.00
_cell_angle_gamma 90.00
_space_group_name_H-M_alt 'I -4 m 2'
_space_group_IT_number 119
_space_group_name_Hall 'I -4 -2'
loop_
_atom_site_label
_atom_site_type_symbol
_atom_site_fract_x
_atom_site_fract_y
_atom_site_fract_z
Sr1 Sr 0.0000 0.0000 0.0000
Sr2 Sr 0.0000 0.5000 0.2500
Li1 Li 0.0000 0.0000 0.5000
Pt1 Pt 0.0000 0.5000 0.7500
```